No. 1
# AlTl2Au5 PBE relaxed
data_AlTl2Au5
_symmetry_space_group_name_H-M 'P 1'
_symmetry_Int_Tables_number 1
_cell_length_a 5.831
_cell_length_b 7.294
_cell_length_c 5.363
_cell_angle_alpha 100.52
_cell_angle_beta 104.89
_cell_angle_gamma 117.70
loop_
_symmetry_equiv_pos_as_xyz
'x,y,z'
loop_
_atom_site_label
_atom_site_type_symbol
_atom_site_fract_x
_atom_site_fract_y
_atom_site_fract_z
_atom_site_occupancy
Al1 Al 0.042 0.875 0.793 1
Au1 Au 0.974 0.822 0.252 1
Au2 Au 0.584 0.839 0.819 1
Au3 Au 0.991 0.525 0.517 1
Au4 Au 0.501 0.099 0.213 1
Au5 Au 0.969 0.162 0.637 1
Tl1 Tl 0.352 0.573 0.194 1
Tl2 Tl 0.588 0.328 0.799 1
# Spin magnetization   0.00 μB per formula unit
# Symmetry   P1 (1)
# Formation energy   -90 meV/atom
# E_tot   -3.198 eV per atom

No. 2
# Al3TlAu PBE relaxed
data_Al3TlAu
_symmetry_space_group_name_H-M 'P 1'
_symmetry_Int_Tables_number 1
_cell_length_a 4.953
_cell_length_b 4.953
_cell_length_c 4.953
_cell_angle_alpha 90.00
_cell_angle_beta 90.00
_cell_angle_gamma 90.00
loop_
_symmetry_equiv_pos_as_xyz
'x,y,z'
loop_
_atom_site_label
_atom_site_type_symbol
_atom_site_fract_x
_atom_site_fract_y
_atom_site_fract_z
_atom_site_occupancy
Al1 Al 0.000 0.000 0.500 1
Al2 Al 0.500 0.000 0.000 1
Al3 Al 0.000 0.500 0.000 1
Au1 Au 0.000 0.000 0.000 1
Tl1 Tl 0.500 0.500 0.500 1
# Spin magnetization   0.00 μB per formula unit
# Symmetry   Pm-3m (221)
# Formation energy   208 meV/atom
# E_tot   -3.167 eV per atom

No. 3
# AlTl2Au2 PBE relaxed
data_AlTl2Au2
_symmetry_space_group_name_H-M 'P 1'
_symmetry_Int_Tables_number 1
_cell_length_a 6.884
_cell_length_b 6.884
_cell_length_c 5.050
_cell_angle_alpha 90.00
_cell_angle_beta 90.00
_cell_angle_gamma 90.00
loop_
_symmetry_equiv_pos_as_xyz
'x,y,z'
loop_
_atom_site_label
_atom_site_type_symbol
_atom_site_fract_x
_atom_site_fract_y
_atom_site_fract_z
_atom_site_occupancy
Au1 Au 0.349 0.849 0.000 1
Au2 Au 0.651 0.151 0.000 1
Au3 Au 0.849 0.651 0.000 1
Au4 Au 0.151 0.349 0.000 1
Tl1 Tl 0.170 0.670 0.500 1
Tl2 Tl 0.670 0.830 0.500 1
Tl3 Tl 0.830 0.330 0.500 1
Tl4 Tl 0.330 0.170 0.500 1
Al1 Al 0.500 0.500 0.000 1
Al2 Al 0.000 0.000 0.000 1
# Spin magnetization   0.00 μB per formula unit
# Symmetry   P4/mbm (127)
# Formation energy   -23 meV/atom
# E_tot   -3.029 eV per atom

No. 4
# Al2TlAu PBE relaxed
data_Al2TlAu
_symmetry_space_group_name_H-M 'P 1'
_symmetry_Int_Tables_number 1
_cell_length_a 8.515
_cell_length_b 8.515
_cell_length_c 8.515
_cell_angle_alpha 23.20
_cell_angle_beta 23.20
_cell_angle_gamma 23.20
loop_
_symmetry_equiv_pos_as_xyz
'x,y,z'
loop_
_atom_site_label
_atom_site_type_symbol
_atom_site_fract_x
_atom_site_fract_y
_atom_site_fract_z
_atom_site_occupancy
Al1 Al 0.513 0.513 0.513 1
Al2 Al 0.987 0.987 0.987 1
Au1 Au 0.250 0.250 0.250 1
Tl1 Tl 0.750 0.750 0.750 1
# Spin magnetization   0.00 μB per formula unit
# Symmetry   R-3m (166)
# Formation energy   -23 meV/atom
# E_tot   -3.306 eV per atom